Here is an optimized crystal structure of Ho3B8Os3 from the Alexandria database. Energies are from GGA-PBE.

abc: 7.330 7.330 7.330
angles: 154.03 100.83 85.01
Sites, in units of the cell vectors:
Ho 0.000 0.000 0.000
Ho 0.290 0.290 0.000
Ho 0.710 0.710 0.000
B 0.010 0.304 0.706
B 0.157 0.860 0.297
B 0.402 0.696 0.706
B 0.437 0.140 0.297
B 0.563 0.860 0.703
B 0.598 0.304 0.294
B 0.843 0.140 0.703
B 0.990 0.696 0.294
Os 0.260 0.500 0.760
Os 0.500 0.000 0.500
Os 0.740 0.500 0.240

Summary:
crystal system	orthorhombic
calculated volume	166.3	Å³ per cell
calculated total energy	-102.619	eV for the cell shown
energy relative to the elements	-127	meV/atom
DOS at the Fermi energy	0.421	states/eV/atom
theoretical density	11.51	g/cm3